# Li2TiV3O8 | the Alexandria database | GGA+U | relaxed
data_Li2TiV3O8
_chemical_formula_sum 'Li4 Ti2 V6 O16'
_cell_length_a 5.9762
_cell_length_b 5.9424
_cell_length_c 10.3885
_cell_angle_alpha 90.00
_cell_angle_beta 124.49
_cell_angle_gamma 90.00
_symmetry_space_group_name_H-M 'P 1 2/c 1'
_symmetry_Int_Tables_number 13
_symmetry_space_group_name_Hall '-P 2yc'
loop_
_atom_site_label
_atom_site_type_symbol
_atom_site_fract_x
_atom_site_fract_y
_atom_site_fract_z
Li1 Li 0.1267 0.2492 0.1251
Ti1 Ti 0.5000 0.2548 0.7500
V1 V 0.0000 0.2399 0.7500
V2 V 0.5000 0.0000 0.0000
V3 V 0.5000 0.5000 0.0000
O1 O 0.2635 0.4701 0.7609
O2 O 0.2704 0.0204 0.7650
O3 O 0.2764 0.2342 0.9941
O4 O 0.2853 0.2461 0.5177
# Polymorph energy (0 for the lowest one) in eV per atom: 0.000